1.
Entry from Alexandria via LeMat-Bulk: a relaxed structure of NaSrBi (PBE).

abc: 5.342 8.186 9.636
angles: 90.00 90.00 90.00
Space group Immm (No. 71)
Unique sites:
Na1 0.000 0.000 0.169
Sr1 0.000 0.232 0.500
Bi1 0.000 0.500 0.181

## Properties
formation enthalpy at 0 K	-462	meV per atom
N(E_F)	1.211	states/eV/f.u.

2.
Entry from Alexandria via LeMat-Bulk: a relaxed structure of Cs2SnS2 (PBE).

abc: 10.654 9.214 8.873
angles: 90.00 108.41 90.00
Space group P2_1/c (No. 14)
Unique sites:
Cs1 0.049 0.235 0.034
Cs2 0.333 0.646 0.990
Sn1 0.349 0.110 0.916
S1 0.152 0.549 0.274
S2 0.456 0.527 0.680

## Properties
energy relative to the elements, uncorrected	-0.922	eV/atom

3.
Entry from Alexandria via LeMat-Bulk: a relaxed structure of DyHgRh (PBE).

abc: 4.7072 4.7072 3.3528
angles: 90.00 90.00 120.00
Space group P3m1 (No. 156)
Unique sites:
Dy1 0.0000 0.0000 0.0000
Hg1 0.3333 0.6667 0.4995
Rh1 0.6667 0.3333 0.5036

## Properties
formation enthalpy at 0 K	-438	meV per atom
N(E_F)	2.122	states/eV/f.u.

4.
Entry from Alexandria via LeMat-Bulk: a relaxed structure of K2MgZn (PBE).

abc: 5.561 5.561 9.260
angles: 90.00 90.00 90.00
Space group I-4m2 (No. 119)
Unique sites:
K1 0.000 0.000 0.000
K2 0.000 0.500 0.250
Mg1 0.000 0.500 0.750
Zn1 0.000 0.000 0.500

## Properties
formation enthalpy at 0 K	243	meV per atom
N(E_F)	3.094	states/eV/f.u.
distance to the lowest polymorph of the same formula	130.6	meV/atom